{
  "formula": "K2PRh",
  "functional": "PBE",
  "state": "optimized geometry",
  "lattice": [[2.929, 0.000, 0.000], [0.000, 2.929, 0.000], [0.000, 0.000, 10.339]],
  "species": ["K", "K", "P", "Rh"],
  "fractional_positions": [[0.000, 0.000, 0.240], [0.000, 0.000, 0.760], [0.500, 0.500, 0.000], [0.500, 0.500, 0.500]],
  "e_form_ev_per_atom": 0.49,
  "energy_ev_per_atom": -3.24
}